Record 1
Material: CdCoCuTe
Method: DFT, PBE
State: relaxed

The energy above the most stable polymorph in this dataset comes out at 0 meV/atom. The value obtained for the magnetization is 0.0 μB per formula unit. The volume comes out at 270 Å³ per cell.

The structure belongs to space group F-43m (No. 216); the cell edges are 6.461, 6.461 and 6.461 Å and the angles 90.00°, 90.00° and 90.00°. The asymmetric unit holds Cd at (0.000, 0.000, 0.000), Co at (0.250, 0.250, 0.750), Cu at (0.250, 0.250, 0.250) and Te at (0.000, 0.000, 0.500).

***

Record 2
Material: TlCdCoCu
Method: DFT, PBE
State: relaxed

The energy above the most stable polymorph in this dataset comes out at 0 meV/atom. The value obtained for the magnetization is 0.8 μB per formula unit. The volume comes out at 264 Å³ per cell.

The structure belongs to space group F-43m (No. 216); the cell edges are 6.414, 6.414 and 6.414 Å and the angles 90.00°, 90.00° and 90.00°. The asymmetric unit holds Tl at (0.000, 0.000, 0.000), Cd at (0.000, 0.000, 0.500), Co at (0.250, 0.250, 0.250) and Cu at (0.250, 0.250, 0.750).

***

Record 3
Material: ZnCdCoCu
Method: DFT, PBE
State: relaxed

The energy above the most stable polymorph in this dataset comes out at 0 meV/atom. The value obtained for the magnetization is 0.0 μB per formula unit. As for the formation energy from the elements: 0.6 eV per formula unit. The volume comes out at 224 Å³ per cell.

The structure belongs to space group F-43m (No. 216); the cell edges are 6.074, 6.074 and 6.074 Å and the angles 90.00°, 90.00° and 90.00°. The asymmetric unit holds Zn at (0.000, 0.000, 0.000), Cd at (0.000, 0.000, 0.500), Co at (0.250, 0.250, 0.250) and Cu at (0.250, 0.250, 0.750).

***

Record 4
Material: DyCdCo
Method: DFT, PBE
State: relaxed

The value obtained for the magnetization is 0.0 μB per formula unit. As for the formation energy from the elements: 1.9 eV per formula unit. The volume comes out at 285 Å³ per cell.

The structure belongs to space group F-43m (No. 216); the cell edges are 6.584, 6.584 and 6.584 Å and the angles 90.00°, 90.00° and 90.00°. The asymmetric unit holds Dy at (0.000, 0.000, 0.000), Cd at (0.250, 0.250, 0.250) and Co at (0.250, 0.250, 0.750).

***

Record 5
Material: DyCdCo
Method: DFT, PBE
State: relaxed

The value obtained for the magnetization is 0.7 μB per formula unit. As for the formation energy from the elements: 1.4 eV per formula unit. The volume comes out at 269 Å³ per cell.

The structure belongs to space group F-43m (No. 216); the cell edges are 6.457, 6.457 and 6.457 Å and the angles 90.00°, 90.00° and 90.00°. The asymmetric unit holds Dy at (0.000, 0.000, 0.000), Cd at (0.250, 0.250, 0.750) and Co at (0.000, 0.000, 0.500).

***

Record 6
Material: Dy4CdCo
Method: DFT, PBE
State: relaxed

The value obtained for the magnetization is 0.0 μB per formula unit. As for the formation energy from the elements: -1.5 eV per formula unit. The volume comes out at 2401 Å³ per cell.

The structure belongs to space group F-43m (No. 216); the cell edges are 13.390, 13.390 and 13.390 Å and the angles 90.00°, 90.00° and 90.00°. The asymmetric unit holds Dy at (0.000, 0.000, 0.188), Dy at (0.062, 0.250, 0.250), Dy at (0.153, 0.153, 0.653), Cd at (0.081, 0.081, 0.419) and Co at (0.141, 0.141, 0.859).

***

Computed E, in the same sequence as the records: -3.35; -3.15; -3.09; -3.57; -3.73; -4.65 eV/atom.